Record 1
# LaCoPt2

A relaxed LaCoPt2 crystal (PBE, Alexandria).

a = 3.081 Å, b = 3.862 Å, c = 6.312 Å
α = 90.00°, β = 90.00°, γ = 90.00°
Each line ends with the local moment (μB).
Fractional positions:
Co  0.000  0.000  0.429  1.72
La  0.500  0.500  0.755  -0.08
Pt  0.000  0.000  0.026  0.03
Pt  0.500  0.500  0.291  0.25

## Properties
density = 13.00 g/cm³
SG = Pmm2
E_form = -0.27 eV per atom
N(E_F) = 3.33 states/eV/cell

=====

Record 2
# NaLa2Ga

A relaxed NaLa2Ga crystal (PBE, Alexandria).

a = 4.264 Å, b = 5.248 Å, c = 5.248 Å
α = 90.00°, β = 90.00°, γ = 90.00°
Fractional positions:
Na  0.500  0.000  0.000
Ga  0.500  0.500  0.500
La  0.000  0.000  0.500
La  0.000  0.500  0.000

## Properties
density = 5.24 g/cm³
SG = P4/mmm
E_form = -0.13 eV per atom
N(E_F) = 5.14 states/eV/cell

=====

Q: Which value of density does entry 1 give?
A: 13.00 g/cm³

=====

Q: Which formula does entry 1 have?
A: LaCoPt2